(1)
A relaxed Ba2CuMo crystal. Source: Alexandria via LeMat-Bulk, functional PBE-GGA.

Properties
The energy relative to the elements comes out at 0.73 eV per atom.

CIF file:
```
data_Ba2CuMo
_chemical_formula_sum 'Ba4 Cu2 Mo2'
_cell_length_a 4.0229
_cell_length_b 5.3301
_cell_length_c 11.9394
_cell_angle_alpha 90.00
_cell_angle_beta 90.00
_cell_angle_gamma 90.00
_symmetry_space_group_name_H-M 'I m m 2'
_symmetry_Int_Tables_number 44
_symmetry_space_group_name_Hall 'I 2 -2'
loop_
_atom_site_label
_atom_site_fract_x
_atom_site_fract_y
_atom_site_fract_z
_atom_site_occupancy
Ba1 0.0000 0.0000 0.0000 1
Ba2 0.0000 0.5000 0.2130 1
Cu1 0.0000 0.5000 0.7871 1
Mo1 0.0000 0.0000 0.4118 1
```

***

(2)
A relaxed Ca2BeC crystal. Source: Alexandria via LeMat-Bulk, functional PBE-GGA.

Properties
The energy relative to the elements comes out at 0.95 eV per atom.

CIF file:
```
data_Ca2BeC
_chemical_formula_sum 'Ca8 Be4 C4'
_cell_length_a 7.3334
_cell_length_b 7.3334
_cell_length_c 6.6168
_cell_angle_alpha 90.00
_cell_angle_beta 90.00
_cell_angle_gamma 90.00
_symmetry_space_group_name_H-M 'I -4 2 d'
_symmetry_Int_Tables_number 122
_symmetry_space_group_name_Hall 'I -4 2bw'
loop_
_atom_site_label
_atom_site_fract_x
_atom_site_fract_y
_atom_site_fract_z
_atom_site_occupancy
Ca1 0.1810 0.7500 0.1250 1
Be1 0.0000 0.0000 0.5000 1
C1 0.0000 0.0000 0.0000 1
```

***

(3)
A relaxed SrSc3Ti crystal. Source: Alexandria via LeMat-Bulk, functional PBE-GGA.

Properties
The energy relative to the elements comes out at 0.42 eV per atom.

CIF file:
```
data_SrSc3Ti
_chemical_formula_sum 'Sr1 Sc3 Ti1'
_cell_length_a 5.2747
_cell_length_b 5.2747
_cell_length_c 5.2747
_cell_angle_alpha 90.00
_cell_angle_beta 90.00
_cell_angle_gamma 90.00
_symmetry_space_group_name_H-M 'P m -3 m'
_symmetry_Int_Tables_number 221
_symmetry_space_group_name_Hall '-P 4 2 3'
loop_
_atom_site_label
_atom_site_fract_x
_atom_site_fract_y
_atom_site_fract_z
_atom_site_occupancy
Sr1 0.0000 0.0000 0.0000 1
Sc1 0.0000 0.5000 0.5000 1
Ti1 0.5000 0.5000 0.5000 1
```

***

(4)
A relaxed NaBeHI2 crystal. Source: Alexandria via LeMat-Bulk, functional PBE-GGA.

CIF file:
```
data_NaBeHI2
_chemical_formula_sum 'Na1 Be1 H1 I2'
_cell_length_a 5.3514
_cell_length_b 5.3514
_cell_length_c 4.0105
_cell_angle_alpha 90.00
_cell_angle_beta 90.00
_cell_angle_gamma 90.00
_symmetry_space_group_name_H-M 'P 4/m m m'
_symmetry_Int_Tables_number 123
_symmetry_space_group_name_Hall '-P 4 2'
loop_
_atom_site_label
_atom_site_fract_x
_atom_site_fract_y
_atom_site_fract_z
_atom_site_occupancy
Na1 0.0000 0.0000 0.0000 1
Be1 0.5000 0.5000 0.0000 1
H1 0.0000 0.0000 0.5000 1
I1 0.0000 0.5000 0.5000 1
```

***

(5)
A relaxed Pr5Ho4Er crystal. Source: Alexandria via LeMat-Bulk, functional PBE-GGA.

Properties
The energy relative to the elements comes out at 0.02 eV per atom.

CIF file:
```
data_Pr5Ho4Er
_chemical_formula_sum 'Pr5 Ho4 Er1'
_cell_length_a 3.6434
_cell_length_b 3.6434
_cell_length_c 25.2795
_cell_angle_alpha 90.00
_cell_angle_beta 90.00
_cell_angle_gamma 90.00
_symmetry_space_group_name_H-M 'P 4/m m m'
_symmetry_Int_Tables_number 123
_symmetry_space_group_name_Hall '-P 4 2'
loop_
_atom_site_label
_atom_site_fract_x
_atom_site_fract_y
_atom_site_fract_z
_atom_site_occupancy
Pr1 0.0000 0.0000 0.0000 1
Pr2 0.0000 0.0000 0.2003 1
Pr3 0.0000 0.0000 0.4004 1
Ho1 0.5000 0.5000 0.1002 1
Ho2 0.5000 0.5000 0.3005 1
Er1 0.5000 0.5000 0.5000 1
```

***

(6)
A relaxed TiGa2Hg crystal. Source: Alexandria via LeMat-Bulk, functional PBE-GGA.

Properties
The energy relative to the elements comes out at 0.11 eV per atom.

CIF file:
```
data_TiGa2Hg
_chemical_formula_sum 'Ti4 Ga8 Hg4'
_cell_length_a 7.3335
_cell_length_b 7.3335
_cell_length_c 5.7893
_cell_angle_alpha 90.00
_cell_angle_beta 90.00
_cell_angle_gamma 90.00
_symmetry_space_group_name_H-M 'I -4 2 d'
_symmetry_Int_Tables_number 122
_symmetry_space_group_name_Hall 'I -4 2bw'
loop_
_atom_site_label
_atom_site_fract_x
_atom_site_fract_y
_atom_site_fract_z
_atom_site_occupancy
Ti1 0.0000 0.0000 0.0000 1
Ga1 0.2490 0.7500 0.6250 1
Hg1 0.0000 0.0000 0.5000 1
```

***

(7)
A relaxed MgPaGaPt crystal. Source: Alexandria via LeMat-Bulk, functional PBE-GGA.

Properties
The energy relative to the elements comes out at -0.57 eV per atom.

CIF file:
```
data_MgPaGaPt
_chemical_formula_sum 'Mg4 Pa4 Ga4 Pt4'
_cell_length_a 6.8415
_cell_length_b 6.8415
_cell_length_c 6.8415
_cell_angle_alpha 90.00
_cell_angle_beta 90.00
_cell_angle_gamma 90.00
_symmetry_space_group_name_H-M 'F -4 3 m'
_symmetry_Int_Tables_number 216
_symmetry_space_group_name_Hall 'F -4 2 3'
loop_
_atom_site_label
_atom_site_fract_x
_atom_site_fract_y
_atom_site_fract_z
_atom_site_occupancy
Mg1 0.0000 0.0000 0.0000 1
Pa1 0.0000 0.0000 0.5000 1
Ga1 0.2500 0.2500 0.7500 1
Pt1 0.2500 0.2500 0.2500 1
```

***

(8)
A relaxed Ta2RePtS crystal. Source: Alexandria via LeMat-Bulk, functional PBE-GGA.

Properties
Its energy relative to the elements, uncorrected is 1.423 eV/atom.

CIF file:
```
data_Ta2RePtS
_chemical_formula_sum 'Ta2 Re1 Pt1 S1'
_cell_length_a 4.8815
_cell_length_b 4.8815
_cell_length_c 4.7768
_cell_angle_alpha 90.00
_cell_angle_beta 90.00
_cell_angle_gamma 90.00
_symmetry_space_group_name_H-M 'P 4/m m m'
_symmetry_Int_Tables_number 123
_symmetry_space_group_name_Hall '-P 4 2'
loop_
_atom_site_label
_atom_site_fract_x
_atom_site_fract_y
_atom_site_fract_z
_atom_site_occupancy
Ta1 0.0000 0.5000 0.0000 1
Re1 0.0000 0.0000 0.0000 1
Pt1 0.0000 0.0000 0.5000 1
S1 0.5000 0.5000 0.5000 1
```

***

Number 1: energy -3.966 eV/atom. Number 2: energy -3.288 eV/atom. Number 3: energy -5.292 eV/atom. Number 4: energy -1.830 eV/atom. Number 5: energy -4.659 eV/atom. Number 6: energy -3.454 eV/atom. Number 7: energy -5.611 eV/atom. Number 8: energy -7.841 eV/atom.